This record from the Alexandria database describes crystalline LaPaZn17 at its relaxed geometry. The functional is GGA-PBE.

Cell: 6.8395 6.8395 6.8395 Å, 82.82 82.82 82.82°
With the nearest neighbours (Å) after each atom.
Fractional coordinates of all 19 atoms:
La 0.3376 0.3376 0.3376  19 Zn 3.19-3.45
Pa 0.6638 0.6638 0.6638  16 Zn 3.10-3.45
Zn 0.2949 0.9984 0.7074  8 Zn 2.59-2.79
Zn 0.7074 0.2949 0.9984  8 Zn 2.59-2.79
Zn 0.9984 0.7074 0.2949  8 Zn 2.59-2.79
Zn 0.2949 0.7074 0.9984  8 Zn 2.59-2.79
Zn 0.9984 0.2949 0.7074  8 Zn 2.59-2.79
Zn 0.7074 0.9984 0.2949  8 Zn 2.59-2.79
Zn 0.3554 0.8342 0.3554  8 Zn 2.58-2.79
Zn 0.3554 0.3554 0.8342  8 Zn 2.58-2.79
Zn 0.8342 0.3554 0.3554  8 Zn 2.58-2.79
Zn 0.6513 0.1544 0.6513  9 Zn 2.58-2.83
Zn 0.6513 0.6513 0.1544  9 Zn 2.58-2.83
Zn 0.1544 0.6513 0.6513  9 Zn 2.58-2.83
Zn 0.0006 0.4993 0.0006  10 Zn 2.59-2.76
Zn 0.0006 0.0006 0.4993  10 Zn 2.59-2.76
Zn 0.4993 0.0006 0.0006  10 Zn 2.59-2.76
Zn 0.8979 0.8979 0.8979  7 Zn 2.64-2.83
Zn 0.0970 0.0970 0.0970  13 Zn 2.64-2.95

Properties
Fermi-level density of states	9.62	states/eV/f.u.
magnetization	0.99	μB/cell
energy relative to the elements	-183.5	meV/atom
volume	16.5	A^3/atom



This record from the Alexandria database describes crystalline LaPaZn2 at its relaxed geometry. The functional is GGA-PBE.

Cell: 3.5803 3.5803 7.4472 Å, 90.00 90.00 90.00°
With the nearest neighbours (Å) after each atom.
Fractional coordinates of all 4 atoms:
Zn 0.0000 0.0000 0.7676  4 Pa 3.07, 4 La 3.22
Zn 0.0000 0.0000 0.2324  4 Pa 3.07, 4 La 3.22
Pa 0.5000 0.5000 0.0000  8 Zn 3.07
La 0.5000 0.5000 0.5000  8 Zn 3.22, 4 La 3.58

Properties
Fermi-level density of states	6.03	states/eV/f.u.
magnetization	0.53	μB/cell
energy relative to the elements	-49.9	meV/atom
volume	23.9	A^3/atom
energy above the most stable polymorph in this dataset	0.000	eV per atom



This record from the Alexandria database describes crystalline LaPaZn4 at its relaxed geometry. The functional is GGA-PBE.

Cell: 5.5299 5.5299 5.5299 Å, 60.00 60.00 60.00°
With the nearest neighbours (Å) after each atom.
Fractional coordinates of all 6 atoms:
Zn 0.6243 0.6243 0.1271  6 Zn 2.75-2.78
Zn 0.6243 0.1271 0.6243  6 Zn 2.75-2.78
Zn 0.6243 0.6243 0.6243  6 Zn 2.75-2.78
Zn 0.1271 0.6243 0.6243  6 Zn 2.75-2.78
Pa 0.2500 0.2500 0.2500  12 Zn 3.24, 4 La 3.39
La 0.0000 0.0000 0.0000  12 Zn 3.24, 4 Pa 3.39

Properties
Fermi-level density of states	6.54	states/eV/f.u.
magnetization	0.00	μB/cell
energy relative to the elements	-128.0	meV/atom
volume	19.9	A^3/atom



This record from the Alexandria database describes crystalline LaPaZn2 at its relaxed geometry. The functional is GGA-PBE.

Cell: 3.1923 3.1923 10.7014 Å, 81.42 81.42 60.00°
With the nearest neighbours (Å) after each atom.
Fractional coordinates of all 4 atoms:
Zn 0.7469 0.7469 0.7594  3 Pa 3.14, 6 Zn 3.19, 3 La 3.30
Zn 0.2531 0.2531 0.2406  3 Pa 3.14, 6 Zn 3.19, 3 La 3.30
Pa 0.0000 0.0000 0.0000  6 Zn 3.14, 6 Pa 3.19
La 0.5000 0.5000 0.5000  6 La 3.19, 6 Zn 3.30

Properties
Fermi-level density of states	5.28	states/eV/f.u.
magnetization	0.00	μB/cell
energy relative to the elements	89.8	meV/atom
volume	23.3	A^3/atom
energy above the most stable polymorph in this dataset	0.140	eV per atom



This record from the Alexandria database describes crystalline La2Pb at its relaxed geometry. The functional is GGA-PBE.

Cell: 6.6196 6.6196 8.8796 Å, 86.96 86.96 32.18°
With the nearest neighbours (Å) after each atom.
Fractional coordinates of all 6 atoms:
La 0.9549 0.9549 0.9670  4 Pb 3.34-3.48, 2 La 3.67
La 0.3555 0.3555 0.3353  1 La 3.19, 3 Pb 3.42-3.51
La 0.7060 0.7060 0.6734  5 Pb 3.42-3.59, 2 La 3.67
La 0.6050 0.6050 0.2715  1 La 3.19, 2 Pb 3.37
Pb 0.9851 0.9851 0.5912  8 La 3.34-3.64, 2 Pb 3.67
Pb 0.2268 0.2268 0.9950  8 La 3.37-3.51, 2 Pb 3.67

Properties
Fermi-level density of states	3.14	states/eV/f.u.
magnetization	0.32	μB/cell
energy relative to the elements	-376.5	meV/atom
volume	34.5	A^3/atom



This record from the Alexandria database describes crystalline La7Pb at its relaxed geometry. The functional is GGA-PBE.

Cell: 7.2914 7.2914 7.2914 Å, 60.00 60.00 60.00°
With the nearest neighbours (Å) after each atom.
Fractional coordinates of all 8 atoms:
La 0.5000 0.0000 0.5000  10 La 3.65, 2 Pb 3.65
La 0.0000 0.5000 0.5000  10 La 3.65, 2 Pb 3.65
La 0.0000 0.0000 0.5000  10 La 3.65, 2 Pb 3.65
La 0.0000 0.5000 0.0000  2 Pb 3.65, 10 La 3.65
La 0.5000 0.0000 0.0000  10 La 3.65, 2 Pb 3.65
La 0.5000 0.5000 0.0000  10 La 3.65, 2 Pb 3.65
La 0.5000 0.5000 0.5000  12 La 3.65
Pb 0.0000 0.0000 0.0000  12 La 3.65

Properties
Fermi-level density of states	11.44	states/eV/f.u.
magnetization	0.00	μB/cell
energy relative to the elements	-152.8	meV/atom
volume	34.3	A^3/atom



This record from the Alexandria database describes crystalline LaPb at its relaxed geometry. The functional is GGA-PBE.

Cell: 8.8967 8.8967 6.5311 Å, 90.00 90.00 120.00°
With the nearest neighbours (Å) after each atom.
Fractional coordinates of all 12 atoms:
La 0.6804 0.9109 0.2500  5 Pb 3.25-3.47
La 0.7695 0.6804 0.7500  5 Pb 3.25-3.47
La 0.0891 0.7695 0.2500  5 Pb 3.25-3.47
La 0.3196 0.0891 0.7500  5 Pb 3.25-3.47
La 0.2305 0.3196 0.2500  5 Pb 3.25-3.47
La 0.9109 0.2305 0.7500  5 Pb 3.25-3.47
Pb 0.8768 0.3414 0.2500  2 Pb 3.18, 5 La 3.25-3.47
Pb 0.5353 0.8768 0.7500  2 Pb 3.18, 5 La 3.25-3.47
Pb 0.6586 0.5353 0.2500  2 Pb 3.18, 5 La 3.25-3.47
Pb 0.1232 0.6586 0.7500  2 Pb 3.18, 5 La 3.25-3.47
Pb 0.4647 0.1232 0.2500  2 Pb 3.18, 5 La 3.25-3.47
Pb 0.3414 0.4647 0.7500  2 Pb 3.18, 5 La 3.25-3.47

Properties
Fermi-level density of states	2.11	states/eV/f.u.
magnetization	0.00	μB/cell
energy relative to the elements	-253.1	meV/atom
volume	37.3	A^3/atom



This record from the Alexandria database describes crystalline La2Pb at its relaxed geometry. The functional is GGA-PBE.

Cell: 5.3658 5.3692 3.9926 Å, 89.94 90.00 119.98°
With the nearest neighbours (Å) after each atom.
Fractional coordinates of all 3 atoms:
La 0.6666 0.3332 0.3004  3 Pb 3.32, 3 La 3.48-3.49
La 0.3334 0.6668 0.6996  3 Pb 3.32, 3 La 3.48-3.49
Pb 0.0000 0.0000 0.0000  6 La 3.32

Properties
Fermi-level density of states	3.03	states/eV/f.u.
magnetization	0.00	μB/cell
energy relative to the elements	-304.8	meV/atom
volume	33.2	A^3/atom



This record from the Alexandria database describes crystalline La8Pb3 at its relaxed geometry. The functional is GGA-PBE.

Cell: 7.5542 7.5542 7.5542 Å, 90.46 90.46 90.46°
With the nearest neighbours (Å) after each atom.
Fractional coordinates of all 11 atoms:
La 0.8753 0.3147 0.1384  2 Pb 3.19-3.34
La 0.3147 0.1384 0.8753  2 Pb 3.19-3.34
La 0.1384 0.8753 0.3147  2 Pb 3.19-3.34
La 0.3618 0.3618 0.3618  3 Pb 3.12
La 0.6382 0.6382 0.6382  3 Pb 3.12
La 0.8616 0.1247 0.6853  2 Pb 3.19-3.34
La 0.6853 0.8616 0.1247  2 Pb 3.19-3.34
La 0.1247 0.6853 0.8616  2 Pb 3.19-3.34
Pb 0.5000 0.0000 0.5000  6 La 3.12-3.34
Pb 0.0000 0.5000 0.5000  6 La 3.12-3.34
Pb 0.5000 0.5000 0.0000  6 La 3.12-3.34

Properties
Fermi-level density of states	14.84	states/eV/f.u.
magnetization	0.00	μB/cell
energy relative to the elements	-101.9	meV/atom
volume	39.2	A^3/atom



This record from the Alexandria database describes crystalline LaPb at its relaxed geometry. The functional is GGA-PBE.

Cell: 6.4419 6.4419 8.0257 Å, 72.98 72.98 42.18°
With the nearest neighbours (Å) after each atom.
Fractional coordinates of all 6 atoms:
La 0.6438 0.6438 0.5682  6 Pb 3.20-3.51
La 0.4840 0.4840 0.2018  7 Pb 3.41-3.50
La 0.3042 0.3042 0.8411  7 Pb 3.31-3.58
Pb 0.0230 0.0230 0.8730  2 Pb 3.11-3.26, 5 La 3.31-3.43
Pb 0.9344 0.9344 0.5279  1 Pb 3.26, 7 La 3.41-3.51
Pb 0.7773 0.7773 0.1546  1 Pb 3.11, 4 La 3.20-3.43

Properties
Fermi-level density of states	2.04	states/eV/f.u.
magnetization	0.00	μB/cell
energy relative to the elements	-500.1	meV/atom
volume	35.4	A^3/atom



This record from the Alexandria database describes crystalline La2Pb at its relaxed geometry. The functional is GGA-PBE.

Cell: 5.1889 5.1889 4.2978 Å, 90.00 90.00 90.00°
With the nearest neighbours (Å) after each atom.
Fractional coordinates of all 3 atoms:
La 0.0000 0.5000 0.5000  4 Pb 3.37, 4 La 3.67
La 0.5000 0.0000 0.5000  4 Pb 3.37, 4 La 3.67
Pb 0.0000 0.0000 0.0000  8 La 3.37

Properties
Fermi-level density of states	3.61	states/eV/f.u.
magnetization	0.00	μB/cell
energy relative to the elements	-252.5	meV/atom
volume	38.6	A^3/atom



This record from the Alexandria database describes crystalline La3Pb at its relaxed geometry. The functional is GGA-PBE.

Cell: 4.3214 4.3214 7.3063 Å, 90.00 90.00 90.00°
With the nearest neighbours (Å) after each atom.
Fractional coordinates of all 4 atoms:
Pb 0.5000 0.5000 0.7500  10 La 3.44-3.65
La 0.0000 0.0000 0.9675  1 La 3.18, 4 Pb 3.44
La 0.5000 0.5000 0.2500  2 Pb 3.65, 8 La 3.69
La 0.0000 0.0000 0.5325  1 La 3.18, 4 Pb 3.44

Properties
Fermi-level density of states	6.71	states/eV/f.u.
magnetization	0.51	μB/cell
energy relative to the elements	-298.6	meV/atom
volume	34.1	A^3/atom



This record from the Alexandria database describes crystalline La3Pb at its relaxed geometry. The functional is GGA-PBE.

Cell: 3.7255 3.7255 11.6252 Å, 90.00 90.00 120.00°
With the nearest neighbours (Å) after each atom.
Fractional coordinates of all 4 atoms:
La 0.0000 0.0000 0.9869  3 Pb 3.49, 9 La 3.73-3.74
La 0.0000 0.0000 0.5131  3 Pb 3.49, 9 La 3.73-3.74
La 0.6667 0.3333 0.2500  12 La 3.73-3.74
Pb 0.6667 0.3333 0.7500  6 La 3.49, 6 Pb 3.73

Properties
Fermi-level density of states	4.97	states/eV/f.u.
magnetization	0.00	μB/cell
energy relative to the elements	-170.4	meV/atom
volume	34.9	A^3/atom



This record from the Alexandria database describes crystalline La3Pb at its relaxed geometry. The functional is GGA-PBE.

Cell: 6.5598 6.5598 6.5598 Å, 116.53 116.53 116.53°
With the nearest neighbours (Å) after each atom.
Fractional coordinates of all 4 atoms:
La 0.0000 0.0000 0.0000  6 La 3.45-3.71, 2 Pb 3.45
La 0.5000 0.0000 0.5000  6 La 3.45-3.71, 2 Pb 3.45
La 0.5000 0.5000 0.0000  2 Pb 3.45, 6 La 3.45-3.71
Pb 0.0000 0.5000 0.5000  6 La 3.45, 2 Pb 3.71

Properties
Fermi-level density of states	5.30	states/eV/f.u.
magnetization	0.00	μB/cell
energy relative to the elements	-232.3	meV/atom
volume	33.3	A^3/atom



This record from the Alexandria database describes crystalline La2Pb at its relaxed geometry. The functional is GGA-PBE.

Cell: 5.7477 5.7477 6.9668 Å, 90.00 90.00 120.00°
With the nearest neighbours (Å) after each atom.
Fractional coordinates of all 6 atoms:
La 0.0000 0.0000 0.0000  8 La 3.48-3.75, 6 Pb 3.75
La 0.0000 0.0000 0.5000  8 La 3.48-3.75, 6 Pb 3.75
La 0.3333 0.6667 0.2500  5 Pb 3.32-3.48
La 0.6667 0.3333 0.7500  5 Pb 3.32-3.48
Pb 0.6667 0.3333 0.2500  5 La 3.32-3.48
Pb 0.3333 0.6667 0.7500  5 La 3.32-3.48

Properties
Fermi-level density of states	3.49	states/eV/f.u.
magnetization	2.49	μB/cell
energy relative to the elements	-483.6	meV/atom
volume	33.2	A^3/atom



This record from the Alexandria database describes crystalline LaPb at its relaxed geometry. The functional is GGA-PBE.

Cell: 4.8728 4.8728 4.8728 Å, 55.19 55.19 55.19°
With the nearest neighbours (Å) after each atom.
Fractional coordinates of all 2 atoms:
La 0.0000 0.0000 0.0000  6 Pb 3.32
Pb 0.5000 0.5000 0.5000  6 La 3.32

Properties
Fermi-level density of states	2.91	states/eV/f.u.
magnetization	0.00	μB/cell
energy relative to the elements	-449.9	meV/atom
volume	36.3	A^3/atom



This record from the Alexandria database describes crystalline LaPb at its relaxed geometry. The functional is GGA-PBE.

Cell: 9.0197 9.0197 9.0197 Å, 90.00 90.00 90.00°
With the nearest neighbours (Å) after each atom.
Fractional coordinates of all 12 atoms:
La 0.2500 0.5000 0.0000  4 Pb 3.19
La 0.7500 0.5000 0.0000  4 Pb 3.19
La 0.5000 0.0000 0.2500  4 Pb 3.19
La 0.5000 0.0000 0.7500  4 Pb 3.19
La 0.0000 0.2500 0.5000  4 Pb 3.19
La 0.0000 0.7500 0.5000  4 Pb 3.19
Pb 0.2500 0.0000 0.5000  4 La 3.19
Pb 0.7500 0.0000 0.5000  4 La 3.19
Pb 0.0000 0.5000 0.2500  4 La 3.19
Pb 0.0000 0.5000 0.7500  4 La 3.19
Pb 0.5000 0.2500 0.0000  4 La 3.19
Pb 0.5000 0.7500 0.0000  4 La 3.19

Properties
Fermi-level density of states	4.73	states/eV/f.u.
magnetization	3.88	μB/cell
energy relative to the elements	282.9	meV/atom
volume	61.2	A^3/atom



This record from the Alexandria database describes crystalline La6Pb at its relaxed geometry. The functional is GGA-PBE.

Cell: 7.1437 7.1437 7.1437 Å, 109.47 109.47 109.47°
With the nearest neighbours (Å) after each atom.
Fractional coordinates of all 7 atoms:
La 0.2500 0.7500 0.5000  4 La 2.92
La 0.5000 0.7500 0.2500  4 La 2.92
La 0.2500 0.5000 0.7500  4 La 2.92
La 0.7500 0.2500 0.5000  4 La 2.92
La 0.5000 0.2500 0.7500  4 La 2.92
La 0.7500 0.5000 0.2500  4 La 2.92
Pb 0.0000 0.0000 0.0000  24 La 4.61

Properties
Fermi-level density of states	13.13	states/eV/f.u.
magnetization	0.00	μB/cell
energy relative to the elements	1003.1	meV/atom
volume	40.1	A^3/atom



This record from the Alexandria database describes crystalline LaPb2 at its relaxed geometry. The functional is GGA-PBE.

Cell: 3.6068 3.6068 8.4935 Å, 90.00 90.00 120.00°
With the nearest neighbours (Å) after each atom.
Fractional coordinates of all 3 atoms:
La 0.0000 0.0000 0.0000  6 Pb 3.57, 6 La 3.61
Pb 0.3333 0.6667 0.6592  9 Pb 3.41-3.61, 3 La 3.57
Pb 0.6667 0.3333 0.3408  9 Pb 3.41-3.61, 3 La 3.57

Properties
Fermi-level density of states	2.57	states/eV/f.u.
magnetization	0.00	μB/cell
energy relative to the elements	-153.5	meV/atom
volume	31.9	A^3/atom



This record from the Alexandria database describes crystalline La4Pb at its relaxed geometry. The functional is GGA-PBE.

Cell: 5.4395 7.0465 9.6894 Å, 111.32 106.30 90.00°
With the nearest neighbours (Å) after each atom.
Fractional coordinates of all 10 atoms:
La 0.0983 0.3483 0.1966  3 Pb 3.53-3.55, 10 La 3.66-3.93
La 0.9017 0.6517 0.8034  3 Pb 3.53-3.55, 10 La 3.66-3.93
La 0.5000 0.0000 0.0000  8 La 3.47-3.66, 4 Pb 3.73
La 0.5000 0.5000 0.0000  8 La 3.47-3.66, 4 Pb 3.73
La 0.7014 0.1834 0.4028  4 La 3.19-3.47, 2 Pb 3.56
La 0.2986 0.8166 0.5972  4 La 3.19-3.47, 2 Pb 3.56
La 0.2986 0.2806 0.5972  4 La 3.19-3.47, 2 Pb 3.56
La 0.7014 0.7194 0.4028  4 La 3.19-3.47, 2 Pb 3.56
Pb 0.8923 0.1423 0.7846  13 La 3.53-3.73
Pb 0.1077 0.8577 0.2154  13 La 3.53-3.73

Properties
Fermi-level density of states	6.41	states/eV/f.u.
magnetization	0.00	μB/cell
energy relative to the elements	-234.7	meV/atom
volume	33.0	A^3/atom
energy above the most stable polymorph in this dataset	0.000	eV per atom